1.
Material: Li5Ga2Pd12
Method: DFT, GGA-PBE
State: optimized geometry

CIF file:
```
data_Li5Ga2Pd12
_cell_length_a 8.164
_cell_length_b 8.164
_cell_length_c 4.836
_cell_angle_alpha 101.57
_cell_angle_beta 101.57
_cell_angle_gamma 65.55
_space_group_name_H-M_alt 'P 1'
_space_group_IT_number 1
_space_group_name_Hall 'P 1'
loop_
_atom_site_label
_atom_site_fract_x
_atom_site_fract_y
_atom_site_fract_z
_atom_site_occupancy
Li1 0.000 0.000 0.000 1
Li2 0.210 0.210 0.040 1
Li3 0.325 0.325 0.629 1
Li4 0.675 0.675 0.371 1
Li5 0.790 0.790 0.960 1
Ga1 0.246 0.754 0.500 1
Ga2 0.754 0.246 0.500 1
Pd1 0.063 0.541 0.289 1
Pd2 0.106 0.106 0.497 1
Pd3 0.152 0.649 0.869 1
Pd4 0.351 0.848 0.131 1
Pd5 0.442 0.442 0.220 1
Pd6 0.459 0.937 0.711 1
Pd7 0.541 0.063 0.289 1
Pd8 0.558 0.558 0.780 1
Pd9 0.649 0.152 0.869 1
Pd10 0.848 0.351 0.131 1
Pd11 0.894 0.894 0.503 1
Pd12 0.937 0.459 0.711 1
```

DFT total energy = -85.8 eV per cell
Formation enthalpy at 0 K = -0.41 eV per atom
Total magnetization = 0.00 Bohr magnetons per cell

=====

2.
Material: LiGa2Pd
Method: DFT, GGA-PBE
State: optimized geometry

CIF file:
```
data_LiGa2Pd
_cell_length_a 5.864
_cell_length_b 5.864
_cell_length_c 5.864
_cell_angle_alpha 101.68
_cell_angle_beta 101.68
_cell_angle_gamma 126.51
_space_group_name_H-M_alt 'P 1'
_space_group_IT_number 1
_space_group_name_Hall 'P 1'
loop_
_atom_site_label
_atom_site_fract_x
_atom_site_fract_y
_atom_site_fract_z
_atom_site_occupancy
Li1 0.000 0.000 0.000 1
Li2 0.750 0.250 0.500 1
Ga1 0.164 0.125 0.539 1
Ga2 0.375 0.836 0.961 1
Ga3 0.586 0.625 0.461 1
Ga4 0.875 0.414 0.039 1
Pd1 0.250 0.750 0.500 1
Pd2 0.500 0.500 0.000 1
```

DFT total energy = -28.2 eV per cell
Formation enthalpy at 0 K = -0.23 eV per atom
Total magnetization = 0.00 Bohr magnetons per cell

=====

3.
Material: Li2GaPd5
Method: DFT, GGA-PBE
State: optimized geometry

CIF file:
```
data_Li2GaPd5
_cell_length_a 7.067
_cell_length_b 7.067
_cell_length_c 7.067
_cell_angle_alpha 125.53
_cell_angle_beta 125.53
_cell_angle_gamma 80.66
_space_group_name_H-M_alt 'P 1'
_space_group_IT_number 1
_space_group_name_Hall 'P 1'
loop_
_atom_site_label
_atom_site_fract_x
_atom_site_fract_y
_atom_site_fract_z
_atom_site_occupancy
Li1 0.143 0.643 0.786 1
Li2 0.357 0.143 0.500 1
Li3 0.643 0.857 0.500 1
Li4 0.857 0.357 0.214 1
Ga1 0.250 0.250 0.000 1
Ga2 0.750 0.750 0.000 1
Pd1 0.000 0.000 0.000 1
Pd2 0.001 0.193 0.500 1
Pd3 0.193 0.693 0.192 1
Pd4 0.307 0.499 0.500 1
Pd5 0.499 0.999 0.192 1
Pd6 0.500 0.500 0.000 1
Pd7 0.501 0.001 0.808 1
Pd8 0.693 0.501 0.500 1
Pd9 0.807 0.307 0.808 1
Pd10 0.999 0.807 0.500 1
```

DFT total energy = -72.5 eV per cell
Formation enthalpy at 0 K = -0.43 eV per atom
Total magnetization = 0.00 Bohr magnetons per cell

=====

4.
Material: LiGa6Pd2
Method: DFT, GGA-PBE
State: optimized geometry

CIF file:
```
data_LiGa6Pd2
_cell_length_a 4.946
_cell_length_b 5.165
_cell_length_c 6.843
_cell_angle_alpha 76.43
_cell_angle_beta 80.38
_cell_angle_gamma 66.43
_space_group_name_H-M_alt 'P 1'
_space_group_IT_number 1
_space_group_name_Hall 'P 1'
loop_
_atom_site_label
_atom_site_fract_x
_atom_site_fract_y
_atom_site_fract_z
_atom_site_occupancy
Li1 0.000 0.000 0.000 1
Ga1 0.052 0.215 0.578 1
Ga2 0.282 0.343 0.992 1
Ga3 0.484 0.393 0.320 1
Ga4 0.516 0.607 0.680 1
Ga5 0.718 0.657 0.008 1
Ga6 0.948 0.785 0.422 1
Pd1 0.417 0.926 0.306 1
Pd2 0.583 0.074 0.694 1
```

DFT total energy = -33.5 eV per cell
Formation enthalpy at 0 K = -0.34 eV per atom
Total magnetization = 0.00 Bohr magnetons per cell

=====

5.
Material: Li2Ga3Pd
Method: DFT, GGA-PBE
State: optimized geometry

CIF file:
```
data_Li2Ga3Pd
_cell_length_a 7.051
_cell_length_b 7.051
_cell_length_c 6.061
_cell_angle_alpha 90.00
_cell_angle_beta 90.00
_cell_angle_gamma 143.21
_space_group_name_H-M_alt 'P 1'
_space_group_IT_number 1
_space_group_name_Hall 'P 1'
loop_
_atom_site_label
_atom_site_fract_x
_atom_site_fract_y
_atom_site_fract_z
_atom_site_occupancy
Li1 0.000 0.000 0.000 1
Li2 0.000 0.000 0.500 1
Li3 0.337 0.663 0.000 1
Li4 0.663 0.337 0.000 1
Ga1 0.169 0.831 0.249 1
Ga2 0.169 0.831 0.751 1
Ga3 0.500 0.500 0.245 1
Ga4 0.500 0.500 0.755 1
Ga5 0.831 0.169 0.249 1
Ga6 0.831 0.169 0.751 1
Pd1 0.340 0.660 0.500 1
Pd2 0.660 0.340 0.500 1
```

DFT total energy = -41.2 eV per cell
Formation enthalpy at 0 K = -0.42 eV per atom
Total magnetization = 0.00 Bohr magnetons per cell

=====

6.
Material: LiGa2Pd8
Method: DFT, GGA-PBE
State: optimized geometry

CIF file:
```
data_LiGa2Pd8
_cell_length_a 6.751
_cell_length_b 6.751
_cell_length_c 4.611
_cell_angle_alpha 101.96
_cell_angle_beta 101.96
_cell_angle_gamma 117.10
_space_group_name_H-M_alt 'P 1'
_space_group_IT_number 1
_space_group_name_Hall 'P 1'
loop_
_atom_site_label
_atom_site_fract_x
_atom_site_fract_y
_atom_site_fract_z
_atom_site_occupancy
Li1 0.000 0.000 0.000 1
Ga1 0.307 0.693 0.500 1
Ga2 0.693 0.307 0.500 1
Pd1 0.094 0.329 0.618 1
Pd2 0.215 0.785 0.000 1
Pd3 0.329 0.094 0.618 1
Pd4 0.386 0.386 0.186 1
Pd5 0.614 0.614 0.814 1
Pd6 0.671 0.906 0.382 1
Pd7 0.785 0.215 0.000 1
Pd8 0.906 0.671 0.382 1
```

DFT total energy = -53.3 eV per cell
Formation enthalpy at 0 K = -0.34 eV per atom
Total magnetization = 0.00 Bohr magnetons per cell

=====

- DFT total energy of number 6 (LiGa2Pd8)?
  -53.3 eV per cell

=====

Repeat the second record exactly.
Material: LiGa2Pd
Method: DFT, GGA-PBE
State: optimized geometry

CIF file:
```
data_LiGa2Pd
_cell_length_a 5.864
_cell_length_b 5.864
_cell_length_c 5.864
_cell_angle_alpha 101.68
_cell_angle_beta 101.68
_cell_angle_gamma 126.51
_space_group_name_H-M_alt 'P 1'
_space_group_IT_number 1
_space_group_name_Hall 'P 1'
loop_
_atom_site_label
_atom_site_fract_x
_atom_site_fract_y
_atom_site_fract_z
_atom_site_occupancy
Li1 0.000 0.000 0.000 1
Li2 0.750 0.250 0.500 1
Ga1 0.164 0.125 0.539 1
Ga2 0.375 0.836 0.961 1
Ga3 0.586 0.625 0.461 1
Ga4 0.875 0.414 0.039 1
Pd1 0.250 0.750 0.500 1
Pd2 0.500 0.500 0.000 1
```

DFT total energy = -28.2 eV per cell
Formation enthalpy at 0 K = -0.23 eV per atom
Total magnetization = 0.00 Bohr magnetons per cell